{
  "formula": "CsKVF4",
  "functional": "PBE with a Hubbard U",
  "state": "optimized geometry",
  "e_tot_ev_per_fu": -36.05,
  "dos_at_fermi_per_ev_cell": 0.0,
  "cell": [[4.2751, 0.0000, 0.0000], [0.0000, 4.2751, 0.0000], [-2.1376, -2.1376, 7.1790]],
  "species": ["Cs", "K", "V", "F", "F", "F", "F"],
  "fractional_positions": [[0.3475, 0.3475, 0.6951], [0.6377, 0.6377, 0.2755], [0.0014, 0.0014, 0.0028], [0.0071, 0.5071, 0.0141], [0.5071, 0.0071, 0.0141], [0.8512, 0.8512, 0.7025], [0.1480, 0.1480, 0.2959]]
}